## NaPuCoO4 (PBE+U)

Data for NaPuCoO4 after structural relaxation.

Its energy is -7.77 eV per atom. The calculation puts the density of states at the Fermi level at 0.5429 states/eV per atom. The total magnetic moment comes out at 4.0 μB/f.u.

The space group is Imma (No. 74) and the conventional cell measures 6.7084, 7.0137 and 7.9952 Å, with angles of 90.00, 90.00 and 90.00 degrees. The inequivalent atoms are Na at (0.0000, 0.2500, 0.1114), Pu at (0.0000, 0.0000, 0.5000), Co at (0.2500, 0.2500, 0.7500), O at (0.0000, 0.0451, 0.7494) and O at (0.2045, 0.2500, 0.5064).